Ho2Al4CuPt3: optimized geometry, PBE.

DOS at the Fermi energy: 0.3500 states/eV/atom
E_form: -967.2 meV/atom

Lattice parameters (Å, degrees): 4.123 4.123 10.740 90.00 90.00 90.00
Space group P-4m2 (No. 115)
One atom of each set of equivalent atoms:
Ho 0.000 0.500 0.249
Al 0.000 0.000 0.000
Al 0.000 0.500 0.629
Al 0.500 0.500 0.000
Cu 0.000 0.000 0.500
Pt 0.000 0.500 0.860
Pt 0.500 0.500 0.500

=====

Ho2Al4Cu3Pt: optimized geometry, PBE.

DOS at the Fermi energy: 0.4512 states/eV/atom
E_form: -580.0 meV/atom

Lattice parameters (Å, degrees): 4.128 4.128 10.289 90.00 90.00 90.00
Space group P-4m2 (No. 115)
One atom of each set of equivalent atoms:
Ho 0.000 0.500 0.249
Al 0.000 0.000 0.000
Al 0.000 0.500 0.633
Al 0.500 0.500 0.000
Cu 0.000 0.500 0.866
Cu 0.500 0.500 0.500
Pt 0.000 0.000 0.500

=====

HoAlCuPt3: optimized geometry, PBE.

DOS at the Fermi energy: 0.3272 states/eV/atom
E_form: -699.0 meV/atom

Lattice parameters (Å, degrees): 5.628 13.009 5.726 90.00 90.00 90.00
Space group Cmcm (No. 63)
One atom of each set of equivalent atoms:
Ho 0.000 0.169 0.250
Al 0.000 0.117 0.750
Cu 0.000 0.372 0.250
Pt 0.000 0.306 0.750
Pt 0.243 0.500 0.000

=====

HoAl2CuPt4: optimized geometry, PBE.

DOS at the Fermi energy: 0.5476 states/eV/atom
E_form: -892.6 meV/atom

Lattice parameters (Å, degrees): 4.3181 4.3181 24.6867 90.00 90.00 120.00
Space group R-3m (No. 166, hexagonal axes)
One atom of each set of equivalent atoms:
Ho 0.0000 0.0000 0.0000
Al 0.0000 0.0000 0.2392
Cu 0.0000 0.0000 0.5000
Pt 0.0000 0.0000 0.1291
Pt 0.0000 0.0000 0.3982

=====

HoAlCuPt2: optimized geometry, PBE.

DOS at the Fermi energy: 0.3894 states/eV/atom
E_form: -895.1 meV/atom

Lattice parameters (Å, degrees): 3.757 3.757 12.660 90.00 90.00 90.00
Space group I-4m2 (No. 119)
One atom of each set of equivalent atoms:
Ho 0.000 0.000 0.000
Al 0.000 0.500 0.250
Cu 0.000 0.500 0.750
Pt 0.000 0.000 0.392

=====

Ho2AlCuS5: optimized geometry, PBE.

E_form (uncorrected): -1454 meV/atom

Lattice parameters (Å, degrees): 3.761 17.698 10.679 90.00 90.00 90.00
Space group Cmc2_1 (No. 36)
One atom of each set of equivalent atoms:
Ho 0.000 0.104 0.000
Ho 0.000 0.113 0.620
Al 0.000 0.408 0.795
Cu 0.000 0.253 0.440
S 0.000 0.038 0.381
S 0.000 0.317 0.644
S 0.000 0.318 0.965
S 0.000 0.357 0.315
S 0.000 0.494 0.616

=====

HoScAlCu: optimized geometry, PBE.

DOS at the Fermi energy: 0.6153 states/eV/atom
E_form: -351.1 meV/atom
Offset from the most stable computed form: 0.000 eV/atom

Lattice parameters (Å, degrees): 3.370 3.370 7.086 90.00 90.00 90.00
Space group P4mm (No. 99)
One atom of each set of equivalent atoms:
Ho 0.000 0.000 0.000
Sc 0.000 0.000 0.531
Al 0.500 0.500 0.284
Cu 0.500 0.500 0.733

=====

HoScAlCu: optimized geometry, PBE.

DOS at the Fermi energy: 0.8679 states/eV/atom
E_form: -305.3 meV/atom
Offset from the most stable computed form: 0.046 eV/atom

Lattice parameters (Å, degrees): 6.900 6.900 6.900 90.00 90.00 90.00
Space group F-43m (No. 216)
One atom of each set of equivalent atoms:
Ho 0.000 0.000 0.000
Sc 0.000 0.000 0.500
Al 0.250 0.250 0.250
Cu 0.250 0.250 0.750

=====

HoAlCu2Si: optimized geometry, PBE.

DOS at the Fermi energy: 0.4512 states/eV/atom
E_form (uncorrected): -490 meV/atom

Lattice parameters (Å, degrees): 3.896 3.931 10.775 90.00 90.00 90.00
Space group Imm2 (No. 44)
One atom of each set of equivalent atoms:
Ho 0.000 0.000 0.000
Al 0.000 0.500 0.750
Cu 0.000 0.000 0.614
Cu 0.000 0.500 0.265
Si 0.000 0.000 0.400

=====

Ho2AlCu4Si3: optimized geometry, PBE.

DOS at the Fermi energy: 0.3925 states/eV/atom
E_form (uncorrected): -546 meV/atom

Lattice parameters (Å, degrees): 3.978 3.978 10.089 90.00 90.00 90.00
Space group P-4m2 (No. 115)
One atom of each set of equivalent atoms:
Ho 0.000 0.500 0.240
Al 0.000 0.000 0.500
Cu 0.000 0.000 0.000
Cu 0.000 0.500 0.639
Cu 0.500 0.500 0.000
Si 0.000 0.500 0.869
Si 0.500 0.500 0.500

=====

HoAl2Cu2Si: optimized geometry, PBE.

DOS at the Fermi energy: 0.3706 states/eV/atom
E_form (uncorrected): -65 meV/atom

Lattice parameters (Å, degrees): 4.446 4.446 5.471 90.00 90.00 90.00
Space group P4/mmm (No. 123)
One atom of each set of equivalent atoms:
Ho 0.000 0.000 0.000
Al 0.500 0.500 0.234
Cu 0.000 0.500 0.500
Si 0.000 0.000 0.500

=====

TbHoAlCu: optimized geometry, PBE.

DOS at the Fermi energy: 1.0254 states/eV/atom
E_form: -282.3 meV/atom
Offset from the most stable computed form: 0.039 eV/atom

Lattice parameters (Å, degrees): 7.132 7.132 7.132 90.00 90.00 90.00
Space group F-43m (No. 216)
One atom of each set of equivalent atoms:
Tb 0.000 0.000 0.000
Ho 0.000 0.000 0.500
Al 0.250 0.250 0.750
Cu 0.250 0.250 0.250

=====

Repeat the fifth record exactly.
HoAlCuPt2: optimized geometry, PBE.

DOS at the Fermi energy: 0.3894 states/eV/atom
E_form: -895.1 meV/atom

Lattice parameters (Å, degrees): 3.757 3.757 12.660 90.00 90.00 90.00
Space group I-4m2 (No. 119)
One atom of each set of equivalent atoms:
Ho 0.000 0.000 0.000
Al 0.000 0.500 0.250
Cu 0.000 0.500 0.750
Pt 0.000 0.000 0.392